Entry from Alexandria via LeMat-Bulk: a relaxed Tm2HfTe5 crystal (PBE-GGA).

```
16
Lattice="5.9130 0.0000 0.0000 -2.9565 7.1182 0.0000 0.0000 0.0000 14.1328" Properties=species:S:1:pos:R:3 pbc="T T T"
Te 2.9565 6.4651 8.7822
Te 0.0000 0.6531 5.3506
Te 2.9565 3.3648 3.5332
Te 2.9565 2.5221 12.9531
Tm 2.9565 4.9035 0.8125
Hf 0.0000 2.7583 3.5332
Tm 0.0000 2.2147 13.3204
Te 0.0000 4.5961 5.8867
Te 0.0000 3.7534 10.5996
Te 0.0000 0.6531 1.7158
Te 2.9565 6.4651 12.4170
Tm 2.9565 4.9035 6.2540
Hf 2.9565 4.3599 10.5996
Te 2.9565 2.5221 8.2462
Te 0.0000 4.5961 1.1797
Tm 0.0000 2.2147 7.8789
```

Computed properties:
SG   Cmcm
Formation energy (no corrections)   -8.29 eV/f.u.
E_tot   -5.361 eV per atom